Entry from Alexandria: a geometry-optimized Li2InMoO6 structure (GGA+U).

For the total energy, the calculation gives -176.9 eV per cell. As for the density of states at the Fermi level: 5.055 states/eV/f.u.

It has space group R3 (No. 146, hexagonal axes), with a = 5.2322 Å, b = 5.2322 Å, c = 14.2926 Å, α = 90.00°, β = 90.00° and γ = 120.00°. The distinct sites, in fractional coordinates, are Li at (0.0000, 0.0000, 0.0000), Li at (0.0000, 0.0000, 0.4930), In at (0.0000, 0.0000, 0.7095), Mo at (0.0000, 0.0000, 0.2117), O at (0.0090, 0.3680, 0.9397) and O at (0.0495, 0.6713, 0.7800).